# 1
Computed, not measured: a PBEsol-optimized structure of SrFeNi2 at the meta-GGA SCAN level of DFT.

## Properties
Energy of formation from the pure elements: 0.654 eV per atom
E: -17.534 eV/atom
DOS(E_F): 0.6914 states/eV/atom

a = 3.846 Å, b = 3.846 Å, c = 8.401 Å
α = 90.00°, β = 90.00°, γ = 90.00°
Space group I-4m2 (No. 119)
One atom of each set of equivalent atoms:
Sr 0.000 0.000 0.000
Fe 0.000 0.500 0.250
Ni 0.000 0.000 0.500
Ni 0.000 0.500 0.750

***

# 2
Computed, not measured: a PBEsol-optimized structure of SrFeNi2 at the meta-GGA SCAN level of DFT.

## Properties
Energy of formation from the pure elements: 0.757 eV per atom
E: -17.430 eV/atom
DOS(E_F): 0.9272 states/eV/atom

a = 6.244 Å, b = 6.244 Å, c = 6.244 Å
α = 90.00°, β = 90.00°, γ = 90.00°
Space group F-43m (No. 216)
One atom of each set of equivalent atoms:
Sr 0.000 0.000 0.000
Fe 0.250 0.250 0.250
Ni 0.000 0.000 0.500
Ni 0.250 0.250 0.750

***

# 3
Computed, not measured: a PBEsol-optimized structure of Sr4FeNi at the meta-GGA SCAN level of DFT.

## Properties
Energy of formation from the pure elements: 1.323 eV per atom
E: -19.245 eV/atom
DOS(E_F): 1.5626 states/eV/atom

a = 9.311 Å, b = 9.311 Å, c = 9.311 Å
α = 90.00°, β = 90.00°, γ = 90.00°
Space group F-43m (No. 216)
One atom of each set of equivalent atoms:
Sr 0.125 0.125 0.125
Fe 0.000 0.000 0.500
Ni 0.250 0.250 0.750